{"formula": "KIrAu2", "functional": "PBE", "state": "optimized geometry", "spacegroup": "C2/m", "relative_energy_mev_per_atom": 57.1, "m_tot_mub_per_cell": 0.66, "formation_energy_kcal_per_mol_atoms": 8.009, "energy_ev_per_cell": -30.2, "lattice": [[9.1165, 0.0000, 0.0000], [0.0000, 2.7798, 0.0000], [-0.6498, 0.0000, 7.0180]], "species": ["K", "K", "Ir", "Ir", "Au", "Au", "Au", "Au"], "frac_coords": [[0.0000, 0.0000, 0.0000], [0.5000, 0.5000, 0.0000], [0.0000, 0.5000, 0.5000], [0.5000, 0.0000, 0.5000], [0.2362, 0.0000, 0.6813], [0.2638, 0.5000, 0.3187], [0.7362, 0.5000, 0.6813], [0.7638, 0.0000, 0.3187]]}

{"formula": "ReSn2S", "functional": "PBE", "state": "optimized geometry", "spacegroup": "I-42d", "m_tot_mub_per_cell": 0.00, "raw_formation_energy_mev_per_atom": 763.2, "energy_ev_per_cell": -86.1, "lattice": [[6.1912, 0.0000, 0.0000], [0.0000, 6.1912, 0.0000], [0.0000, 0.0000, 11.9450]], "species": ["Re", "Re", "Re", "Re", "Sn", "Sn", "Sn", "Sn", "Sn", "Sn", "Sn", "Sn", "S", "S", "S", "S"], "frac_coords": [[0.0000, 0.0000, 0.0000], [0.0000, 0.5000, 0.2500], [0.5000, 0.0000, 0.7500], [0.5000, 0.5000, 0.5000], [0.2360, 0.2500, 0.1250], [0.2500, 0.7360, 0.3750], [0.2500, 0.7640, 0.8750], [0.2640, 0.2500, 0.6250], [0.7360, 0.7500, 0.6250], [0.7500, 0.2360, 0.8750], [0.7500, 0.2640, 0.3750], [0.7640, 0.7500, 0.1250], [0.0000, 0.0000, 0.5000], [0.0000, 0.5000, 0.7500], [0.5000, 0.0000, 0.2500], [0.5000, 0.5000, 0.0000]]}

{"formula": "UBeIr", "functional": "PBE", "state": "optimized geometry", "spacegroup": "I4mm", "relative_energy_mev_per_atom": 116.0, "m_tot_mub_per_cell": 2.47, "formation_energy_kcal_per_mol_atoms": -6.044, "energy_ev_per_cell": -49.3, "lattice": [[2.9062, 0.0000, 0.0000], [0.0000, 2.9062, 0.0000], [0.0000, 0.0000, 10.8069]], "species": ["U", "U", "Be", "Be", "Ir", "Ir"], "frac_coords": [[0.0000, 0.0000, 0.0000], [0.5000, 0.5000, 0.5000], [0.0000, 0.0000, 0.6976], [0.5000, 0.5000, 0.1976], [0.0000, 0.0000, 0.3008], [0.5000, 0.5000, 0.8008]]}